DFT (GGA+U) results for Zr2VGeF after structural relaxation.

Cell: 5.340 5.340 3.958 Å, 90.00 90.00 90.00°
Positions (direct):
Zr: 0.000 0.500 0.000
Zr: 0.500 0.000 0.000
V: 0.000 0.000 0.500
Ge: 0.500 0.500 0.000
F: 0.500 0.500 0.500

Values from the calculation:
Volume ... 113 Å³/cell
Energy ... -28.11 eV per cell